The following is a DFT calculation (GGA-PBE) of an optimized crystal structure of HgTeRh2.

Unit cell a=3.1325 b=3.7997 c=6.6625 alpha=90.00 beta=90.00 gamma=90.00
Closest atoms and distances in Å follow each position.
Space group Pmm2 (No. 25)
Unique sites:
Hg 0.0000 0.0000 0.0000  5 Rh 2.83-2.95, 2 Hg 3.13
Te 0.5000 0.5000 0.6053  5 Rh 2.64-2.69
Rh 0.0000 0.0000 0.4425  4 Te 2.69, 4 Rh 2.91, 1 Hg 2.95
Rh 0.5000 0.5000 0.2091  1 Te 2.64, 4 Hg 2.83, 4 Rh 2.91

Summary:
- crystal system = orthorhombic
- DFT total energy (eV/atom) = -4.480
- relative energy among the computed polymorphs (meV per atom) = 30